Record 1
{
  "formula": "NbSeO3",
  "functional": "PBE-GGA",
  "state": "relaxed",
  "energy_ev_per_atom": -6.8664,
  "volume_a3_per_atom": 13.1,
  "mass_density_g_cm3": 5.6,
  "lattice_angstrom": [[4.031, 0.000, 0.000], [0.000, 4.031, 0.000], [0.000, 0.000, 4.031]],
  "species": ["Nb", "Se", "O", "O", "O"],
  "fractional_positions": [[0.000, 0.000, 0.000], [0.500, 0.500, 0.500], [0.000, 0.000, 0.500], [0.000, 0.500, 0.000], [0.500, 0.000, 0.000]]
}

---

Record 2
{
  "formula": "NbTlSe2O",
  "functional": "PBE-GGA",
  "state": "relaxed",
  "energy_ev_per_atom": -5.8759,
  "volume_a3_per_atom": 21.9,
  "mass_density_g_cm3": 7.1,
  "lattice_angstrom": [[5.274, 0.000, 0.000], [0.000, 5.274, 0.000], [0.000, 0.000, 3.938]],
  "species": ["Nb", "Tl", "Se", "Se", "O"],
  "fractional_positions": [[0.000, 0.000, 0.000], [0.500, 0.500, 0.500], [0.000, 0.500, 0.000], [0.500, 0.000, 0.000], [0.000, 0.000, 0.500]]
}

---

Record 3
{
  "formula": "NbTlSeO2",
  "functional": "PBE-GGA",
  "state": "relaxed",
  "energy_ev_per_atom": -6.5583,
  "volume_a3_per_atom": 17.9,
  "mass_density_g_cm3": 7.6,
  "lattice_angstrom": [[4.087, 0.000, 0.000], [0.000, 4.087, 0.000], [0.000, 0.000, 5.351]],
  "species": ["Nb", "Tl", "Se", "O", "O"],
  "fractional_positions": [[0.000, 0.000, 0.000], [0.500, 0.500, 0.500], [0.000, 0.000, 0.500], [0.000, 0.500, 0.000], [0.500, 0.000, 0.000]]
}

---

Record 4
{
  "formula": "NbTl2SeO6",
  "functional": "PBE-GGA",
  "state": "relaxed",
  "energy_ev_per_atom": -5.9150,
  "volume_a3_per_atom": 13.7,
  "mass_density_g_cm3": 8.2,
  "lattice_angstrom": [[0.000, 4.088, 4.088], [4.088, 0.000, 4.088], [4.088, 4.088, 0.000]],
  "species": ["Nb", "Tl", "Tl", "Se", "O", "O", "O", "O", "O", "O"],
  "fractional_positions": [[0.000, 0.000, 0.000], [0.250, 0.250, 0.250], [0.750, 0.750, 0.750], [0.500, 0.500, 0.500], [0.247, 0.247, 0.753], [0.247, 0.753, 0.247], [0.247, 0.753, 0.753], [0.753, 0.247, 0.247], [0.753, 0.247, 0.753], [0.753, 0.753, 0.247]]
}

---

Record 5
{
  "formula": "NbSiO4",
  "functional": "PBE-GGA",
  "state": "relaxed",
  "energy_ev_per_atom": -8.1502,
  "volume_a3_per_atom": 15.7,
  "mass_density_g_cm3": 3.3,
  "lattice_angstrom": [[4.591, 0.000, 0.000], [0.000, 4.591, 0.000], [0.000, 0.000, 8.946]],
  "species": ["Nb", "Nb", "Si", "Si", "O", "O", "O", "O", "O", "O", "O", "O"],
  "fractional_positions": [[0.000, 0.000, 0.000], [0.000, 0.000, 0.500], [0.000, 0.500, 0.250], [0.500, 0.000, 0.750], [0.182, 0.279, 0.362], [0.182, 0.721, 0.138], [0.279, 0.182, 0.862], [0.279, 0.818, 0.638], [0.721, 0.182, 0.638], [0.721, 0.818, 0.862], [0.818, 0.279, 0.138], [0.818, 0.721, 0.362]]
}

---

Record 6
{
  "formula": "Nb2SiO",
  "functional": "PBE-GGA",
  "state": "relaxed",
  "de_polymorph_ev_per_fu": 0.08,
  "volume_a3_per_atom": 14.1,
  "mass_density_g_cm3": 6.8,
  "lattice_angstrom": [[0.000, 3.044, 3.044], [3.044, 0.000, 3.044], [3.044, 3.044, 0.000]],
  "species": ["Nb", "Nb", "Si", "O"],
  "fractional_positions": [[0.250, 0.250, 0.250], [0.750, 0.750, 0.750], [0.000, 0.000, 0.000], [0.500, 0.500, 0.500]]
}

---

Record 7
{
  "formula": "NbSi4O13",
  "functional": "PBE-GGA",
  "state": "relaxed",
  "energy_ev_per_atom": -7.2898,
  "volume_a3_per_atom": 18.2,
  "mass_density_g_cm3": 2.1,
  "lattice_angstrom": [[7.629, 0.000, 0.000], [0.000, 9.115, 0.000], [-3.185, 0.000, 9.399]],
  "species": ["Nb", "Nb", "Si", "Si", "Si", "Si", "Si", "Si", "Si", "Si", "O", "O", "O", "O", "O", "O", "O", "O", "O", "O", "O", "O", "O", "O", "O", "O", "O", "O", "O", "O", "O", "O", "O", "O", "O", "O"],
  "fractional_positions": [[0.080, 0.250, 0.395], [0.920, 0.750, 0.605], [0.273, 0.003, 0.689], [0.273, 0.497, 0.689], [0.420, 0.250, 0.921], [0.436, 0.250, 0.245], [0.564, 0.750, 0.755], [0.580, 0.750, 0.079], [0.727, 0.503, 0.311], [0.727, 0.997, 0.311], [0.000, 0.000, 0.000], [0.000, 0.500, 0.000], [0.012, 0.250, 0.583], [0.096, 0.598, 0.690], [0.096, 0.902, 0.690], [0.226, 0.099, 0.543], [0.226, 0.401, 0.543], [0.247, 0.250, 0.287], [0.332, 0.104, 0.831], [0.332, 0.396, 0.831], [0.351, 0.750, 0.026], [0.376, 0.250, 0.071], [0.446, 0.603, 0.691], [0.446, 0.897, 0.691], [0.554, 0.103, 0.309], [0.554, 0.397, 0.309], [0.624, 0.750, 0.929], [0.649, 0.250, 0.974], [0.668, 0.604, 0.169], [0.668, 0.896, 0.169], [0.753, 0.750, 0.713], [0.774, 0.599, 0.457], [0.774, 0.901, 0.457], [0.904, 0.098, 0.310], [0.904, 0.402, 0.310], [0.988, 0.750, 0.417]]
}

---

Record 8
{
  "formula": "NbSi2O",
  "functional": "PBE-GGA",
  "state": "relaxed",
  "energy_ev_per_atom": -6.8062,
  "volume_a3_per_atom": 14.2,
  "mass_density_g_cm3": 4.8,
  "lattice_angstrom": [[-2.891, 2.891, 3.394], [2.891, -2.891, 3.394], [2.891, 2.891, -3.394]],
  "species": ["Nb", "Nb", "Si", "Si", "Si", "Si", "O", "O"],
  "fractional_positions": [[0.000, 0.000, 0.000], [0.750, 0.250, 0.500], [0.217, 0.625, 0.092], [0.375, 0.467, 0.592], [0.533, 0.125, 0.908], [0.875, 0.783, 0.408], [0.250, 0.750, 0.500], [0.500, 0.500, 0.000]]
}